{
  "formula": "Li4MnCr",
  "functional": "PBE",
  "state": "optimized geometry",
  "total_energy_ev_per_atom": -3.91,
  "ef_kj_per_mol_atoms": 47.9,
  "m_tot_mub_per_fu": 8.38,
  "lattice": [[0.000, 3.678, 3.678], [3.678, 0.000, 3.678], [3.678, 3.678, 0.000]],
  "species": ["Li", "Li", "Li", "Li", "Cr", "Mn"],
  "fractional_positions": [[0.625, 0.625, 0.625], [0.625, 0.625, 0.125], [0.125, 0.625, 0.625], [0.625, 0.125, 0.625], [0.000, 0.000, 0.000], [0.250, 0.250, 0.250]]
}

{
  "formula": "Nd3YTe3",
  "functional": "PBE",
  "state": "optimized geometry",
  "raw_formation_energy_ev_per_atom": -1.16,
  "total_energy_ev_per_atom": -5.48,
  "m_tot_mub_per_fu": 0.00,
  "lattice": [[4.288, 0.000, 0.000], [0.000, 12.574, 0.000], [0.000, 0.000, 16.321]],
  "species": ["Nd", "Nd", "Nd", "Nd", "Nd", "Nd", "Nd", "Nd", "Nd", "Nd", "Nd", "Nd", "Te", "Te", "Te", "Te", "Te", "Te", "Te", "Te", "Te", "Te", "Te", "Te", "Y", "Y", "Y", "Y"],
  "fractional_positions": [[0.250, 0.056, 0.406], [0.750, 0.239, 0.709], [0.250, 0.761, 0.291], [0.750, 0.658, 0.515], [0.750, 0.944, 0.594], [0.250, 0.342, 0.485], [0.750, 0.444, 0.906], [0.250, 0.842, 0.015], [0.250, 0.261, 0.209], [0.750, 0.158, 0.985], [0.750, 0.739, 0.791], [0.250, 0.556, 0.094], [0.250, 0.127, 0.594], [0.750, 0.739, 0.148], [0.750, 0.873, 0.406], [0.250, 0.261, 0.852], [0.250, 0.059, 0.104], [0.250, 0.627, 0.906], [0.250, 0.761, 0.648], [0.250, 0.559, 0.396], [0.750, 0.441, 0.604], [0.750, 0.941, 0.896], [0.750, 0.373, 0.094], [0.750, 0.239, 0.352], [0.250, 0.004, 0.771], [0.750, 0.496, 0.271], [0.250, 0.504, 0.729], [0.750, 0.996, 0.229]]
}